(1)
Entry from the Alexandria database: a relaxed structure of AlP3H6O12 (PBE).

Computed properties:
The calculation puts the density of states at the Fermi level at 0.0 states/eV/f.u. As for the space group: P2/c (13). The electronic total energy is -6.362 eV per atom. As for the crystal system: monoclinic.

Lattice parameters (Å, degrees): 4.9721 8.0948 11.8203 84.95 90.00 90.00
Fractional coordinates of all 44 atoms:
Al1 0.0000 0.5000 0.5000
Al2 0.0000 0.5000 0.0000
H1 0.6382 0.0232 0.6282
H2 0.6382 0.9768 0.8718
H3 0.3618 0.9768 0.3718
H4 0.3618 0.0232 0.1282
H5 0.0593 0.9773 0.6296
H6 0.0593 0.0227 0.8704
H7 0.9407 0.0227 0.3704
H8 0.9407 0.9773 0.1296
H9 0.8893 0.8188 0.6049
H10 0.8893 0.1812 0.8951
H11 0.1107 0.1812 0.3951
H12 0.1107 0.8188 0.1049
O1 0.2917 0.3508 0.5081
O2 0.2917 0.6492 0.9919
O3 0.7083 0.6492 0.4919
O4 0.7083 0.3508 0.0081
O5 0.0773 0.5676 0.6470
O6 0.0773 0.4324 0.8530
O7 0.9227 0.4324 0.3530
O8 0.9227 0.5676 0.1470
O9 0.7870 0.3225 0.5667
O10 0.7870 0.6775 0.9333
O11 0.2130 0.6775 0.4333
O12 0.2130 0.3225 0.0667
O13 0.4580 0.0923 0.6200
O14 0.4580 0.9077 0.8800
O15 0.5420 0.9077 0.3800
O16 0.5420 0.0923 0.1200
O17 0.4301 0.3565 0.7161
O18 0.4301 0.6435 0.7839
O19 0.5699 0.6435 0.2839
O20 0.5699 0.3565 0.2161
O21 0.8840 0.9232 0.6409
O22 0.8840 0.0768 0.8591
O23 0.1160 0.0768 0.3591
O24 0.1160 0.9232 0.1409
P1 0.4972 0.2829 0.5947
P2 0.4972 0.7171 0.9053
P3 0.5028 0.7171 0.4053
P4 0.5028 0.2829 0.0947
P5 0.2331 0.5000 0.7500
P6 0.7669 0.5000 0.2500

(2)
Entry from the Alexandria database: a relaxed structure of CsAg2 (PBE).

Computed properties:
The calculation puts the density of states at the Fermi level at 1.6 states/eV/f.u. As for the space group: Fd-3m (227). Its formation energy is 0.54 eV/f.u. The electronic total energy is -2.005 eV per atom. As for the crystal system: cubic.

Lattice parameters (Å, degrees): 6.3018 6.3018 6.3018 60.00 60.00 60.00
Fractional coordinates of all 6 atoms:
Cs1 0.0000 0.0000 0.0000
Cs2 0.2500 0.2500 0.2500
Ag1 0.1250 0.6250 0.6250
Ag2 0.6250 0.1250 0.6250
Ag3 0.6250 0.6250 0.6250
Ag4 0.6250 0.6250 0.1250

(3)
Entry from the Alexandria database: a relaxed structure of La3AuO (PBE).

Computed properties:
The calculation puts the density of states at the Fermi level at 4.8 states/eV/f.u. As for the space group: Pnma (62). As for the energy above the most stable polymorph in this dataset: 10.1 kJ/mol of atoms. The electronic total energy is -5.959 eV per atom. As for the energy relative to the elements, uncorrected: -1356 meV/atom. As for the crystal system: orthorhombic.

Lattice parameters (Å, degrees): 6.9265 12.1158 7.0773 90.00 90.00 90.00
Fractional coordinates of all 20 atoms:
Au1 0.0000 0.0000 0.5000
Au2 0.5000 0.5000 0.0000
Au3 0.5000 0.0000 0.0000
Au4 0.0000 0.5000 0.5000
O1 0.4686 0.2500 0.5806
O2 0.0314 0.7500 0.0806
O3 0.5314 0.7500 0.4194
O4 0.9686 0.2500 0.9194
La1 0.1351 0.8993 0.8808
La2 0.3649 0.3993 0.3808
La3 0.3649 0.1007 0.3808
La4 0.8649 0.3993 0.1192
La5 0.8649 0.1007 0.1192
La6 0.6351 0.6007 0.6192
La7 0.6351 0.8993 0.6192
La8 0.1351 0.6007 0.8808
La9 0.3088 0.2500 0.8765
La10 0.1912 0.7500 0.3765
La11 0.6912 0.7500 0.1235
La12 0.8088 0.2500 0.6235

(4)
Entry from the Alexandria database: a relaxed structure of Cd4AgCl (PBE).

Computed properties:
The calculation puts the density of states at the Fermi level at 5.0 states/eV/f.u. As for the space group: F-43m (216). The electronic total energy is -1.330 eV per atom. As for the energy relative to the elements, uncorrected: 63 meV/atom. As for the crystal system: cubic.

Lattice parameters (Å, degrees): 5.8801 5.8801 5.8801 60.00 60.00 60.00
Fractional coordinates of all 6 atoms:
Cd1 0.8766 0.3745 0.3745
Cd2 0.3745 0.3745 0.8766
Cd3 0.3745 0.8766 0.3745
Cd4 0.3745 0.3745 0.3745
Ag1 0.0000 0.0000 0.0000
Cl1 0.7500 0.7500 0.7500

(5)
Entry from the Alexandria database: a relaxed structure of Dy2Ga8Ru (PBE).

Computed properties:
The calculation puts the density of states at the Fermi level at 4.2 states/eV/f.u. As for the space group: P4/mmm (123). Its formation energy is -5.50 eV/f.u. The electronic total energy is -4.381 eV per atom. As for the crystal system: tetragonal.

Lattice parameters (Å, degrees): 4.2833 4.2833 11.2660 90.00 90.00 90.00
Fractional coordinates of all 11 atoms:
Dy1 0.0000 0.0000 0.3085
Dy2 0.0000 0.0000 0.6915
Ga1 0.0000 0.5000 0.5000
Ga2 0.5000 0.0000 0.5000
Ga3 0.5000 0.5000 0.3089
Ga4 0.5000 0.5000 0.6911
Ga5 0.0000 0.5000 0.1214
Ga6 0.5000 0.0000 0.1214
Ga7 0.0000 0.5000 0.8786
Ga8 0.5000 0.0000 0.8786
Ru1 0.0000 0.0000 0.0000

(6)
Entry from the Alexandria database: a relaxed structure of RbSmAuSe2 (PBE).

Computed properties:
The calculation puts the density of states at the Fermi level at 2.9 states/eV/f.u. As for the space group: P2/c (13). The electronic total energy is -4.281 eV per atom. As for the energy relative to the elements, uncorrected: -1094 meV/atom. As for the crystal system: monoclinic.

Lattice parameters (Å, degrees): 5.0267 8.0521 8.1928 98.76 90.00 90.00
Fractional coordinates of all 10 atoms:
Rb1 0.1387 0.5000 0.7500
Rb2 0.8613 0.5000 0.2500
Sm1 0.4934 0.0000 0.2500
Sm2 0.5066 0.0000 0.7500
Au1 0.0000 0.0000 0.0000
Au2 0.0000 0.0000 0.5000
Se1 0.6518 0.7591 0.9660
Se2 0.6518 0.2409 0.5340
Se3 0.3482 0.7591 0.4660
Se4 0.3482 0.2409 0.0340

(7)
Entry from the Alexandria database: a relaxed structure of Nd6GeAs2Br3 (PBE).

Computed properties:
The calculation puts the density of states at the Fermi level at 5.5 states/eV/f.u. As for the space group: C2/m (12). The electronic total energy is -5.300 eV per atom. As for the energy relative to the elements, uncorrected: -1338 meV/atom. As for the crystal system: monoclinic.

Lattice parameters (Å, degrees): 4.2782 8.8097 9.7896 104.97 102.62 90.00
Fractional coordinates of all 12 atoms:
Nd1 0.3430 0.8967 0.6860
Nd2 0.6755 0.5587 0.3509
Nd3 0.6570 0.1033 0.3140
Nd4 0.0086 0.2279 0.0171
Nd5 0.9914 0.7721 0.9829
Nd6 0.3245 0.4413 0.6491
Ge1 0.5000 0.0000 0.0000
As1 0.8330 0.6680 0.6660
As2 0.1670 0.3320 0.3340
Br1 0.5000 0.5000 0.0000
Br2 0.8340 0.1684 0.6679
Br3 0.1660 0.8316 0.3321

(8)
Entry from the Alexandria database: a relaxed structure of Pm2Ga4RuAu3 (PBE).

Computed properties:
The calculation puts the density of states at the Fermi level at 5.2 states/eV/f.u. As for the space group: P-4m2 (115). Its formation energy is -5.92 eV/f.u. The electronic total energy is -4.663 eV per atom. As for the crystal system: tetragonal.

Lattice parameters (Å, degrees): 4.2560 4.2560 11.0328 90.00 90.00 90.00
Fractional coordinates of all 10 atoms:
Pm1 0.5000 0.0000 0.2583
Pm2 0.0000 0.5000 0.7417
Ga1 0.5000 0.5000 0.0000
Ga2 0.0000 0.0000 0.0000
Ga3 0.5000 0.0000 0.6273
Ga4 0.0000 0.5000 0.3727
Ru1 0.5000 0.5000 0.5000
Au1 0.0000 0.0000 0.5000
Au2 0.5000 0.0000 0.8578
Au3 0.0000 0.5000 0.1422

(9)
Entry from the Alexandria database: a relaxed structure of Dy2Ga2Pt (PBE).

Computed properties:
The calculation puts the density of states at the Fermi level at 3.6 states/eV/f.u. As for the space group: C2/m (12). Its formation energy is -4.52 eV/f.u. The electronic total energy is -5.165 eV per atom. As for the crystal system: monoclinic.

Lattice parameters (Å, degrees): 4.3096 5.7353 9.6768 82.00 77.13 67.93
Fractional coordinates of all 10 atoms:
Dy1 0.3113 0.2581 0.1193
Dy2 0.5070 0.3139 0.6721
Dy3 0.6887 0.7419 0.8807
Dy4 0.4930 0.6861 0.3279
Ga1 0.9733 0.1638 0.8897
Ga2 0.1440 0.2631 0.4489
Ga3 0.0267 0.8362 0.1103
Ga4 0.8560 0.7369 0.5511
Pt1 0.7755 0.1138 0.3353
Pt2 0.2245 0.8862 0.6647

(10)
Entry from the Alexandria database: a relaxed structure of TcSn2Ir (PBE).

Computed properties:
The calculation puts the density of states at the Fermi level at 0.5 states/eV/f.u. As for the space group: Fm-3m (225). Its formation energy is 0.17 eV/f.u. As for the energy above the most stable polymorph in this dataset: 0.0 kJ/mol of atoms. The electronic total energy is -6.765 eV per atom. As for the crystal system: cubic.

Lattice parameters (Å, degrees): 4.6161 4.6161 4.6161 60.00 60.00 60.00
Fractional coordinates of all 4 atoms:
Ir1 0.5000 0.5000 0.5000
Sn1 0.2500 0.2500 0.2500
Sn2 0.7500 0.7500 0.7500
Tc1 0.0000 0.0000 0.0000